1.
# Cs2CaZrP | Alexandria | GGA-PBE | optimized geometry
# * VASP energy: -0.1644 Ry/atom
# * ρ: 2.8 Mg/m³
# * ΔE_f: 1296 meV per atom
data_Cs2CaZrP
_chemical_formula_sum 'Cs2 Ca1 Zr1 P1'
_cell_length_a 6.398
_cell_length_b 6.398
_cell_length_c 6.157
_cell_angle_alpha 90.00
_cell_angle_beta 90.00
_cell_angle_gamma 90.00
_symmetry_space_group_name_H-M 'P 4/m m m'
_symmetry_Int_Tables_number 123
_symmetry_space_group_name_Hall '-P 4 2'
loop_
_atom_site_label
_atom_site_fract_x
_atom_site_fract_y
_atom_site_fract_z
Cs1 0.000 0.500 0.000
Ca1 0.000 0.000 0.500
Zr1 0.000 0.000 0.000
P1 0.500 0.500 0.500

2.
# Cs2CaPaS4 | Alexandria | GGA-PBE | optimized geometry
# * VASP energy: -0.3930 Ry/atom
# * ρ: 4.5 Mg/m³
data_Cs2CaPaS4
_chemical_formula_sum 'Cs2 Ca1 Pa1 S4'
_cell_length_a 7.248
_cell_length_b 4.196
_cell_length_c 8.409
_cell_angle_alpha 90.00
_cell_angle_beta 106.78
_cell_angle_gamma 90.00
_symmetry_space_group_name_H-M 'P 1 2/m 1'
_symmetry_Int_Tables_number 10
_symmetry_space_group_name_Hall '-P 2y'
loop_
_atom_site_label
_atom_site_fract_x
_atom_site_fract_y
_atom_site_fract_z
Cs1 0.000 0.000 0.000
Cs2 0.500 0.500 0.000
Ca1 0.000 0.500 0.500
Pa1 0.500 0.000 0.500
S1 0.245 0.000 0.681
S2 0.285 0.500 0.317

3.
# Cs2CaPaTe4 | Alexandria | GGA-PBE | optimized geometry
# * VASP energy: -0.3238 Ry/atom
# * ρ: 5.2 Mg/m³
data_Cs2CaPaTe4
_chemical_formula_sum 'Cs2 Ca1 Pa1 Te4'
_cell_length_a 8.050
_cell_length_b 4.665
_cell_length_c 9.288
_cell_angle_alpha 90.00
_cell_angle_beta 106.79
_cell_angle_gamma 90.00
_symmetry_space_group_name_H-M 'P 1 2/m 1'
_symmetry_Int_Tables_number 10
_symmetry_space_group_name_Hall '-P 2y'
loop_
_atom_site_label
_atom_site_fract_x
_atom_site_fract_y
_atom_site_fract_z
Cs1 0.000 0.000 0.000
Cs2 0.500 0.500 0.000
Ca1 0.000 0.500 0.500
Pa1 0.500 0.000 0.500
Te1 0.244 0.000 0.690
Te2 0.280 0.500 0.309

4.
# CsCa2Pb2 | Alexandria | GGA-PBE | optimized geometry
# * VASP energy: -0.2076 Ry/atom
# * ρ: 5.8 Mg/m³
# * excess energy over the best structure of this formula in the dataset: 0 meV/atom
# * ΔE_f: -370 meV per atom
data_CsCa2Pb2
_chemical_formula_sum 'Cs2 Ca4 Pb4'
_cell_length_a 10.030
_cell_length_b 10.030
_cell_length_c 3.550
_cell_angle_alpha 90.00
_cell_angle_beta 90.00
_cell_angle_gamma 90.00
_symmetry_space_group_name_H-M 'P 4/m b m'
_symmetry_Int_Tables_number 127
_symmetry_space_group_name_Hall '-P 4 2ab'
loop_
_atom_site_label
_atom_site_fract_x
_atom_site_fract_y
_atom_site_fract_z
Cs1 0.000 0.000 0.000
Ca1 0.127 0.373 0.000
Pb1 0.168 0.668 0.500

5.
# CsCa2Pb2 | Alexandria | GGA-PBE | optimized geometry
# * VASP energy: -0.1997 Ry/atom
# * ρ: 5.0 Mg/m³
# * excess energy over the best structure of this formula in the dataset: 107 meV/atom
# * ΔE_f: -262 meV per atom
data_CsCa2Pb2
_chemical_formula_sum 'Cs2 Ca4 Pb4'
_cell_length_a 5.802
_cell_length_b 5.802
_cell_length_c 12.398
_cell_angle_alpha 90.00
_cell_angle_beta 90.00
_cell_angle_gamma 90.00
_symmetry_space_group_name_H-M 'I 4/m m m'
_symmetry_Int_Tables_number 139
_symmetry_space_group_name_Hall '-I 4 2'
loop_
_atom_site_label
_atom_site_fract_x
_atom_site_fract_y
_atom_site_fract_z
Cs1 0.000 0.000 0.000
Ca1 0.000 0.500 0.250
Pb1 0.000 0.000 0.378

6.
# CsCa2Pb2 | Alexandria | GGA-PBE | optimized geometry
# * VASP energy: -0.1887 Ry/atom
# * ρ: 4.6 Mg/m³
# * excess energy over the best structure of this formula in the dataset: 256 meV/atom
# * ΔE_f: -113 meV per atom
data_CsCa2Pb2
_chemical_formula_sum 'Cs2 Ca4 Pb4'
_cell_length_a 5.783
_cell_length_b 5.783
_cell_length_c 13.516
_cell_angle_alpha 90.00
_cell_angle_beta 90.00
_cell_angle_gamma 90.00
_symmetry_space_group_name_H-M 'I 4/m m m'
_symmetry_Int_Tables_number 139
_symmetry_space_group_name_Hall '-I 4 2'
loop_
_atom_site_label
_atom_site_fract_x
_atom_site_fract_y
_atom_site_fract_z
Cs1 0.000 0.000 0.000
Ca1 0.000 0.000 0.349
Pb1 0.000 0.500 0.250

7.
# CsCaPb3 | Alexandria | GGA-PBE | optimized geometry
# * VASP energy: -0.1372 Ry/atom
# * ρ: 5.4 Mg/m³
# * excess energy over the best structure of this formula in the dataset: 761 meV/atom
# * ΔE_f: 929 meV per atom
data_CsCaPb3
_chemical_formula_sum 'Cs1 Ca1 Pb3'
_cell_length_a 6.257
_cell_length_b 6.257
_cell_length_c 6.257
_cell_angle_alpha 90.00
_cell_angle_beta 90.00
_cell_angle_gamma 90.00
_symmetry_space_group_name_H-M 'P m -3 m'
_symmetry_Int_Tables_number 221
_symmetry_space_group_name_Hall '-P 4 2 3'
loop_
_atom_site_label
_atom_site_fract_x
_atom_site_fract_y
_atom_site_fract_z
Cs1 0.000 0.000 0.000
Ca1 0.500 0.500 0.500
Pb1 0.000 0.000 0.500

8.
# Cs2CaPb2 | Alexandria | GGA-PBE | optimized geometry
# * VASP energy: -0.1616 Ry/atom
# * ρ: 5.3 Mg/m³
# * ΔE_f: 27 meV per atom
data_Cs2CaPb2
_chemical_formula_sum 'Cs4 Ca2 Pb4'
_cell_length_a 5.090
_cell_length_b 5.090
_cell_length_c 17.300
_cell_angle_alpha 90.00
_cell_angle_beta 90.00
_cell_angle_gamma 90.00
_symmetry_space_group_name_H-M 'I 4/m m m'
_symmetry_Int_Tables_number 139
_symmetry_space_group_name_Hall '-I 4 2'
loop_
_atom_site_label
_atom_site_fract_x
_atom_site_fract_y
_atom_site_fract_z
Cs1 0.000 0.500 0.250
Ca1 0.000 0.000 0.000
Pb1 0.000 0.000 0.417

9.
# CsCaPb3 | Alexandria | GGA-PBE | optimized geometry
# * VASP energy: -0.1931 Ry/atom
# * ρ: 5.9 Mg/m³
# * excess energy over the best structure of this formula in the dataset: 0 meV/atom
# * ΔE_f: 168 meV per atom
data_CsCaPb3
_chemical_formula_sum 'Cs1 Ca1 Pb3'
_cell_length_a 6.074
_cell_length_b 6.074
_cell_length_c 6.074
_cell_angle_alpha 90.00
_cell_angle_beta 90.00
_cell_angle_gamma 90.00
_symmetry_space_group_name_H-M 'P m -3 m'
_symmetry_Int_Tables_number 221
_symmetry_space_group_name_Hall '-P 4 2 3'
loop_
_atom_site_label
_atom_site_fract_x
_atom_site_fract_y
_atom_site_fract_z
Cs1 0.000 0.000 0.000
Ca1 0.500 0.500 0.500
Pb1 0.000 0.500 0.500

10.
# CsCaPb4 | Alexandria | GGA-PBE | optimized geometry
# * VASP energy: -0.2276 Ry/atom
# * ρ: 7.7 Mg/m³
# * ΔE_f: -149 meV per atom
data_CsCaPb4
_chemical_formula_sum 'Cs4 Ca4 Pb16'
_cell_length_a 9.523
_cell_length_b 9.523
_cell_length_c 9.523
_cell_angle_alpha 90.00
_cell_angle_beta 90.00
_cell_angle_gamma 90.00
_symmetry_space_group_name_H-M 'F -4 3 m'
_symmetry_Int_Tables_number 216
_symmetry_space_group_name_Hall 'F -4 2 3'
loop_
_atom_site_label
_atom_site_fract_x
_atom_site_fract_y
_atom_site_fract_z
Cs1 0.000 0.000 0.000
Ca1 0.250 0.250 0.750
Pb1 0.124 0.124 0.376

11.
# CsCaPb2S | Alexandria | GGA-PBE | optimized geometry
# * VASP energy: -0.2159 Ry/atom
# * ρ: 5.1 Mg/m³
data_CsCaPb2S
_chemical_formula_sum 'Cs1 Ca1 Pb2 S1'
_cell_length_a 5.707
_cell_length_b 5.707
_cell_length_c 6.205
_cell_angle_alpha 90.00
_cell_angle_beta 90.00
_cell_angle_gamma 90.00
_symmetry_space_group_name_H-M 'P 4/m m m'
_symmetry_Int_Tables_number 123
_symmetry_space_group_name_Hall '-P 4 2'
loop_
_atom_site_label
_atom_site_fract_x
_atom_site_fract_y
_atom_site_fract_z
Cs1 0.000 0.000 0.000
Ca1 0.500 0.500 0.000
Pb1 0.000 0.500 0.500
S1 0.000 0.000 0.500

12.
# CsCaPb2Se | Alexandria | GGA-PBE | optimized geometry
# * VASP energy: -0.1190 Ry/atom
# * ρ: 4.6 Mg/m³
data_CsCaPb2Se
_chemical_formula_sum 'Cs1 Ca1 Pb2 Se1'
_cell_length_a 6.248
_cell_length_b 6.248
_cell_length_c 6.123
_cell_angle_alpha 90.00
_cell_angle_beta 90.00
_cell_angle_gamma 90.00
_symmetry_space_group_name_H-M 'P 4/m m m'
_symmetry_Int_Tables_number 123
_symmetry_space_group_name_Hall '-P 4 2'
loop_
_atom_site_label
_atom_site_fract_x
_atom_site_fract_y
_atom_site_fract_z
Cs1 0.000 0.000 0.000
Ca1 0.000 0.000 0.500
Pb1 0.000 0.500 0.000
Se1 0.500 0.500 0.500

Question: Look up the VASP energy of the seventh one.
Answer: -0.1372 Ry/atom